# 1
# Sc2BeIr6, relaxed, DFT GGA-PBE
data_Sc2BeIr6
_chemical_formula_sum 'Sc8 Be4 Ir24'
_cell_length_a 8.125
_cell_length_b 8.125
_cell_length_c 8.125
_cell_angle_alpha 90.00
_cell_angle_beta 90.00
_cell_angle_gamma 90.00
_symmetry_space_group_name_H-M 'F m -3 m'
_symmetry_Int_Tables_number 225
_symmetry_space_group_name_Hall '-F 4 2 3'
loop_
_atom_site_label
_atom_site_fract_x
_atom_site_fract_y
_atom_site_fract_z
_atom_site_occupancy
Sc1 0.250 0.250 0.250 1
Be1 0.000 0.000 0.000 1
Ir1 0.000 0.000 0.264 1
# * V: 536.4 Å³ per cell
# * spin magnetization: 0.000 μB per formula unit
# * E_form: -0.5815 eV/atom

---

# 2
# BaSr2P2N6, relaxed, DFT GGA-PBE
data_BaSr2P2N6
_chemical_formula_sum 'Ba1 Sr2 P2 N6'
_cell_length_a 5.666
_cell_length_b 6.223
_cell_length_c 6.843
_cell_angle_alpha 112.01
_cell_angle_beta 94.81
_cell_angle_gamma 114.19
_symmetry_space_group_name_H-M 'P -1'
_symmetry_Int_Tables_number 2
_symmetry_space_group_name_Hall '-P 1'
loop_
_atom_site_label
_atom_site_fract_x
_atom_site_fract_y
_atom_site_fract_z
_atom_site_occupancy
Ba1 0.000 0.000 0.000 1
Sr1 0.253 0.416 0.661 1
P1 0.321 0.761 0.269 1
N1 0.216 0.968 0.361 1
N2 0.221 0.518 0.324 1
N3 0.482 0.764 0.091 1
# * energy relative to the elements, uncorrected: -13.188 kcal/mol of atoms
# * V: 195.9 Å³ per cell
# * spin magnetization: 2.016 μB per formula unit

---

# 3
# GdDyGaPb, relaxed, DFT GGA-PBE
data_GdDyGaPb
_chemical_formula_sum 'Gd4 Dy4 Ga4 Pb4'
_cell_length_a 7.486
_cell_length_b 7.486
_cell_length_c 7.486
_cell_angle_alpha 90.00
_cell_angle_beta 90.00
_cell_angle_gamma 90.00
_symmetry_space_group_name_H-M 'F -4 3 m'
_symmetry_Int_Tables_number 216
_symmetry_space_group_name_Hall 'F -4 2 3'
loop_
_atom_site_label
_atom_site_fract_x
_atom_site_fract_y
_atom_site_fract_z
_atom_site_occupancy
Gd1 0.000 0.000 0.000 1
Dy1 0.000 0.000 0.500 1
Ga1 0.250 0.250 0.750 1
Pb1 0.250 0.250 0.250 1
# * V: 419.5 Å³ per cell
# * spin magnetization: 7.132 μB per formula unit
# * E_form: -0.4501 eV/atom